An optimized crystal structure of CaZrRh2. Source: Alexandria via LeMat-Bulk, functional PBE.

POSCAR file:
```
CaZrRh2
1.0
3.6704 0.0000 0.0000
0.0000 3.6704 0.0000
0.0000 0.0000 6.1961
Zr Ca Rh
1 1 2
Cartesian
0.0000 0.0000 2.4969
1.8352 1.8352 4.9645
1.8352 1.8352 1.7977
0.0000 0.0000 0.0350
```

Computed properties:
**Symmetry**: P4mm
**M_tot**: 0.00 μB/cell
**Offset from the most stable computed form**: 411 meV per atom
**Energy of formation**: -0.276 eV/atom
**Calculated total energy**: -26.36 eV/cell

---

An optimized crystal structure of HoTm2PaP4. Source: Alexandria via LeMat-Bulk, functional PBE.

POSCAR file:
```
HoTm2PaP4
1.0
3.9645 0.0000 0.0000
0.0000 6.8494 0.1186
0.0000 -2.3941 6.4059
P Pa Tm Ho
4 1 2 1
Cartesian
1.9822 3.3189 4.8923
1.9822 1.1365 1.6321
0.0000 -0.0746 4.8291
0.0000 4.5300 1.6954
1.9822 3.4247 0.0593
0.0000 2.2277 3.2622
1.9822 -1.1970 3.2029
0.0000 0.0000 0.0000
```

Computed properties:
**Symmetry**: P2/m
**M_tot**: 0.00 μB/cell
**Energy of formation**: -1.538 eV/atom
**Calculated total energy**: -56.96 eV/cell

---

An optimized crystal structure of Ca5TmPb6. Source: Alexandria via LeMat-Bulk, functional PBE.

POSCAR file:
```
Ca5TmPb6
1.0
5.7671 -0.1393 0.3783
-0.0203 6.7635 2.7733
0.4909 0.1569 9.2570
Ca Pb Tm
5 6 1
Cartesian
4.2593 1.1805 6.7849
1.9784 5.6006 5.6237
2.0334 2.2620 4.1341
-0.0101 3.3818 1.3867
4.2043 4.5191 8.2746
4.8955 3.9749 4.9450
1.3336 6.2957 8.8942
2.8776 1.5364 0.8476
1.3422 2.8061 7.4637
2.8692 5.0878 2.3040
4.9041 0.4854 3.5145
0.0000 0.0000 0.0000
```

Computed properties:
**Symmetry**: C2/m
**M_tot**: 0.00 μB/cell
**Energy of formation**: -0.498 eV/atom
**Calculated total energy**: -42.71 eV/cell

---

An optimized crystal structure of InTeSe2. Source: Alexandria via LeMat-Bulk, functional PBE.

POSCAR file:
```
InTeSe2
1.0
-0.7104 1.5882 -3.1860
-3.2917 -3.7961 -1.1583
-3.8385 2.6623 2.1830
Se In Te
2 1 1
Cartesian
0.0000 0.0000 0.0000
-3.5651 -0.5669 0.5123
-2.2745 2.1253 -0.5015
-2.0011 -1.1040 -2.1722
```

Computed properties:
**Symmetry**: P4/mmm
**M_tot**: 0.00 μB/cell
**Offset from the most stable computed form**: 304 meV per atom
**Formation energy from raw total energies**: 0.35 eV/f.u.
**Calculated total energy**: -12.50 eV/cell

---

An optimized crystal structure of Tb2HoTe. Source: Alexandria via LeMat-Bulk, functional PBE.

POSCAR file:
```
Tb2HoTe
1.0
-2.4374 3.0246 0.6994
-1.7366 -4.8412 3.7495
6.0814 3.2725 7.0420
Tb Ho Te
4 2 2
Cartesian
1.1089 -0.6741 6.7800
0.7986 2.1300 4.7109
3.6944 0.7172 9.7739
-1.7870 0.7387 1.7170
-2.3120 -0.6132 5.7353
4.2195 2.0691 5.7555
0.1301 -0.7477 3.6888
1.7774 2.2036 7.8020
```

Computed properties:
**Symmetry**: Cmcm
**M_tot**: 0.00 μB/cell
**Offset from the most stable computed form**: 0 meV per atom
**Formation energy from raw total energies**: -2.62 eV/f.u.
**Calculated total energy**: -39.19 eV/cell

---

An optimized crystal structure of NaGaTcO5. Source: Alexandria via LeMat-Bulk, functional PBE.

POSCAR file:
```
NaGaTcO5
1.0
-0.2701 -5.7702 0.8812
5.4451 1.2938 -1.6799
-0.0364 2.3899 6.5106
Ga Tc O Na
2 2 10 2
Cartesian
-0.0182 1.1950 3.2553
0.0000 0.0000 0.0000
3.5546 0.7832 4.0379
1.5841 -2.8698 1.6739
1.4693 -4.5326 1.0027
3.1402 -2.4523 2.4441
1.2938 -1.7227 0.3364
3.8449 -0.3639 5.3755
1.9985 0.3658 3.2677
0.3287 -2.9005 2.9591
4.8099 0.8139 2.7528
0.0789 -3.5127 5.5955
3.6693 2.4460 4.7092
5.0597 1.4262 0.1163
1.4773 -1.7843 4.9688
3.6613 -0.3023 0.7430
```

Computed properties:
**Symmetry**: C2/c
**M_tot**: 1.98 μB/cell
**Formation energy from raw total energies**: -12.15 eV/f.u.
**Calculated total energy**: -103.31 eV/cell

---

An optimized crystal structure of NaCd2In2. Source: Alexandria via LeMat-Bulk, functional PBE.

POSCAR file:
```
NaCd2In2
1.0
0.1659 -3.3236 -0.2481
4.8080 -1.2975 -1.8447
1.6028 -2.1382 7.2750
In Cd Na
2 2 1
Cartesian
3.2845 -3.2124 0.3473
3.2923 -3.5470 4.8350
1.5635 -1.7835 2.4966
5.0133 -4.9758 2.6856
0.0000 0.0000 0.0000
```

Computed properties:
**Symmetry**: C2/m
**M_tot**: 0.00 μB/cell
**Offset from the most stable computed form**: 0 meV per atom
**Energy of formation**: -0.041 eV/atom
**Calculated total energy**: -8.83 eV/cell

---

An optimized crystal structure of TbPm15In4. Source: Alexandria via LeMat-Bulk, functional PBE.

POSCAR file:
```
TbPm15In4
1.0
4.9599 0.0000 0.0000
0.0000 4.9599 0.0000
0.0000 0.0000 25.2911
Pm In Tb
15 4 1
Cartesian
2.4799 2.4799 15.1358
2.4799 2.4799 0.0000
2.4799 0.0000 2.6633
2.4799 0.0000 12.6456
2.4799 0.0000 17.6266
0.0000 2.4799 22.6278
0.0000 2.4799 12.6456
0.0000 2.4799 2.6633
2.4799 0.0000 22.6278
2.4799 2.4799 10.1553
0.0000 2.4799 7.6645
2.4799 2.4799 20.1149
2.4799 0.0000 7.6645
2.4799 2.4799 5.1763
0.0000 2.4799 17.6266
0.0000 0.0000 20.0917
0.0000 0.0000 5.1994
0.0000 0.0000 15.1309
0.0000 0.0000 10.1603
0.0000 0.0000 0.0000
```

Computed properties:
**Symmetry**: P4/mmm
**M_tot**: 0.00 μB/cell
**Energy of formation**: -0.211 eV/atom
**Calculated total energy**: -91.05 eV/cell

---

An optimized crystal structure of Tb2AlSe4. Source: Alexandria via LeMat-Bulk, functional PBE.

POSCAR file:
```
Tb2AlSe4
1.0
4.0212 0.0000 0.0000
0.0000 7.1401 -0.0974
-2.0106 -3.5714 6.2715
Tb Se Al
2 4 1
Cartesian
0.0000 -0.0917 3.3450
2.0106 3.6603 2.8291
0.0000 4.9199 1.2963
0.0000 2.4966 4.6821
2.0106 1.0721 1.4920
2.0106 -1.3512 4.8779
0.0000 0.0000 0.0000
```

Computed properties:
**Symmetry**: C2/m
**M_tot**: 0.00 μB/cell
**Formation energy from raw total energies**: -9.83 eV/f.u.
**Calculated total energy**: -36.77 eV/cell

---

An optimized crystal structure of CaYTe2. Source: Alexandria via LeMat-Bulk, functional PBE.

POSCAR file:
```
CaYTe2
1.0
6.2586 0.0000 0.0000
0.0000 4.4225 0.0000
0.0000 0.0000 4.4212
Te Ca Y
2 1 1
Cartesian
0.0000 3.8696 3.8687
3.1293 1.6587 1.6581
3.1293 3.8697 3.8685
0.0000 1.6584 1.6577
```

Computed properties:
**Symmetry**: P4/mmm
**M_tot**: 0.00 μB/cell
**Offset from the most stable computed form**: 5 meV per atom
**Formation energy from raw total energies**: -5.86 eV/f.u.
**Calculated total energy**: -20.61 eV/cell

---

An optimized crystal structure of Hg2Pd3O8. Source: Alexandria via LeMat-Bulk, functional PBE.

POSCAR file:
```
Hg2Pd3O8
1.0
-0.0857 -3.9439 -3.5611
0.2094 -4.1832 4.6278
-5.3867 3.2156 -1.0589
Hg O Pd
2 8 3
Cartesian
-2.2304 -4.1682 0.5425
-3.0326 -0.7433 -0.5347
-4.1782 0.6683 0.7932
-4.1658 -1.5996 2.9519
-1.0972 -3.3119 -2.9441
-4.2625 -0.3919 -2.5213
-1.0006 -4.5196 2.5291
-1.1180 -2.1743 -0.0655
-4.1451 -2.7372 0.0733
-1.0848 -5.5798 -0.7854
0.0526 -1.0511 1.1628
0.1568 -3.1321 3.4650
-0.0428 -1.9719 -1.7806
```

Computed properties:
**Symmetry**: C2/m
**M_tot**: 0.00 μB/cell
**Formation energy from raw total energies**: -4.33 eV/f.u.
**Calculated total energy**: -60.18 eV/cell

---

An optimized crystal structure of BaPm2Gd. Source: Alexandria via LeMat-Bulk, functional PBE.

POSCAR file:
```
BaPm2Gd
1.0
3.7543 0.0000 0.0000
1.8771 3.2513 0.0000
1.8771 1.0838 12.4984
Pm Ba Gd
2 1 1
Cartesian
1.8771 1.0838 3.3891
5.6314 3.2513 9.1094
0.0000 0.0000 0.0000
3.7543 2.1675 6.2492
```

Computed properties:
**Symmetry**: R-3m
**M_tot**: 7.34 μB/cell
**Offset from the most stable computed form**: 14 meV per atom
**Energy of formation**: 0.137 eV/atom
**Calculated total energy**: -24.96 eV/cell

---

An optimized crystal structure of LiRh2Pb2. Source: Alexandria via LeMat-Bulk, functional PBE.

POSCAR file:
```
LiRh2Pb2
1.0
7.8966 0.0000 0.0000
0.0000 7.8966 0.0000
0.0000 0.0000 3.1643
Li Rh Pb
2 4 4
Cartesian
0.0000 0.0000 0.0000
3.9483 3.9483 0.0000
1.0935 5.0418 1.5822
6.8031 2.8548 1.5822
5.0418 6.8031 1.5822
2.8548 1.0935 1.5822
1.2520 2.6963 0.0000
6.6446 5.2003 0.0000
5.2003 1.2520 0.0000
2.6963 6.6446 0.0000
```

Computed properties:
**Symmetry**: P4/mbm
**M_tot**: 0.00 μB/cell
**Offset from the most stable computed form**: 45 meV per atom
**Energy of formation**: -0.072 eV/atom
**Calculated total energy**: -48.79 eV/cell

---

An optimized crystal structure of PaMoW. Source: Alexandria via LeMat-Bulk, functional PBE.

POSCAR file:
```
PaMoW
1.0
-1.6526 -2.4047 0.6109
0.3078 -1.3357 -4.4246
3.1740 -1.4017 3.0686
Mo Pa W
1 1 1
Cartesian
0.1075 -3.0394 -1.4996
-1.6361 -2.3807 0.6049
1.7053 -2.1267 0.7606
```

Computed properties:
**Symmetry**: P3m1
**M_tot**: 0.00 μB/cell
**Offset from the most stable computed form**: 46 meV per atom
**Energy of formation**: 0.277 eV/atom
**Calculated total energy**: -32.45 eV/cell

---

An optimized crystal structure of HfTa2FeTc. Source: Alexandria via LeMat-Bulk, functional PBE.

POSCAR file:
```
HfTa2FeTc
1.0
-0.6546 1.7737 4.1754
-3.5759 -2.6362 0.5592
2.6798 -3.2528 1.8019
Tc Ta Hf Fe
1 2 1 1
Cartesian
-1.7879 -1.3181 0.2796
1.3399 -1.6264 0.9009
-0.3273 0.8868 2.0877
-0.7754 -2.0576 3.2683
0.0000 0.0000 0.0000
```

Computed properties:
**Symmetry**: P4/mmm
**M_tot**: 0.00 μB/cell
**Energy of formation**: 0.634 eV/atom
**Calculated total energy**: -49.32 eV/cell